Entry 1:
Sr2GaSi after structural relaxation, computed with GGA-PBEsol.

Cell: 4.1870 4.6516 11.6947 Å, 90.00 90.00 90.00°
Positions (direct):
Sr: 0.0000 0.0000 0.0000
Sr: 0.0000 0.5000 0.5000
Sr: 0.5000 0.0000 0.2815
Sr: 0.5000 0.5000 0.7815
Ga: 0.5000 0.0000 0.5800
Ga: 0.5000 0.5000 0.0800
Si: 0.0000 0.0000 0.7056
Si: 0.0000 0.5000 0.2056

Computed properties:
The magnetization is 0.0 μB/cell. As for the space-group type: No. 38. The formation energy (no corrections) is -0.4789 eV per atom.

---

Entry 2:
HgMo3Pt after structural relaxation, computed with GGA-PBEsol.

Cell: 4.7807 4.7807 4.7807 Å, 90.00 90.00 90.00°
Positions (direct):
Hg: 0.0000 0.0000 0.0000
Mo: 0.0000 0.0000 0.5000
Mo: 0.0000 0.5000 0.0000
Mo: 0.5000 0.0000 0.0000
Pt: 0.5000 0.5000 0.5000

Computed properties:
The calculation puts the total energy at -5.784 eV per atom. The magnetization is 0.0 μB/cell. As for the space-group type: No. 221.

---

Entry 3:
CuPt after structural relaxation, computed with GGA-PBEsol.

Cell: 8.8235 8.4113 4.6132 Å, 79.47 69.59 30.93°
Positions (direct):
Cu: 0.0000 0.0000 0.0000
Cu: 0.1634 0.1634 0.8366
Cu: 0.5000 0.5000 0.5000
Cu: 0.5823 0.5823 0.9177
Cu: 0.8366 0.8366 0.1634
Cu: 0.9177 0.9177 0.5823
Pt: 0.0778 0.0778 0.4222
Pt: 0.2500 0.2500 0.2500
Pt: 0.3381 0.3381 0.6619
Pt: 0.4222 0.4222 0.0778
Pt: 0.6619 0.6619 0.3381
Pt: 0.7500 0.7500 0.7500

Computed properties:
The calculation puts the total energy at -5.744 eV per atom. The magnetization is 0.0 μB/cell. As for the space-group type: No. 22.

---

Entry 4:
SrLi3 after structural relaxation, computed with GGA-PBEsol.

Cell: 7.0123 7.0270 4.9772 Å, 90.00 90.00 90.00°
Positions (direct):
Sr: 0.0000 0.0000 0.0000
Sr: 0.5000 0.5000 0.0000
Li: 0.0000 0.5000 0.0000
Li: 0.2500 0.2500 0.5000
Li: 0.2500 0.7500 0.5000
Li: 0.5000 0.0000 0.0000
Li: 0.7500 0.2500 0.5000
Li: 0.7500 0.7500 0.5000

Computed properties:
The calculation puts the total energy at -1.827 eV per atom. The magnetization is 0.0 μB/cell. As for the space-group type: No. 65.

---

Entry 5:
MnZnPS2 after structural relaxation, computed with GGA-PBEsol.

Cell: 4.6322 4.6322 4.4724 Å, 90.00 90.00 90.00°
Positions (direct):
Mn: 0.0000 0.0000 0.0000
Zn: 0.5000 0.5000 0.5000
P: 0.5000 0.5000 0.0000
S: 0.0000 0.5000 0.5000
S: 0.5000 0.0000 0.5000

Computed properties:
The magnetization is 4.1 μB/cell. As for the space-group type: No. 123. The formation energy (no corrections) is 0.7742 eV per atom.

---

Entry 6:
CaTlRh after structural relaxation, computed with GGA-PBEsol.

Cell: 6.6022 6.6022 6.6022 Å, 90.00 90.00 90.00°
Positions (direct):
Ca: 0.0000 0.0000 0.0000
Ca: 0.0000 0.5000 0.5000
Ca: 0.5000 0.0000 0.5000
Ca: 0.5000 0.5000 0.0000
Tl: 0.2500 0.2500 0.2500
Tl: 0.2500 0.7500 0.7500
Tl: 0.7500 0.2500 0.7500
Tl: 0.7500 0.7500 0.2500
Rh: 0.0000 0.0000 0.5000
Rh: 0.0000 0.5000 0.0000
Rh: 0.5000 0.0000 0.0000
Rh: 0.5000 0.5000 0.5000

Computed properties:
The calculation puts the total energy at -4.198 eV per atom. The magnetization is 0.0 μB/cell. As for the space-group type: No. 216.

---

Q: Among the records above, which one has the highest magnetization?
A: MnZnPS2